1.
A geometry-optimized Pm3SiN structure. Source: the Alexandria database, functional PBE.

theoretical density: 6.8 g/cm3
M_tot: 0.0 μB/f.u.
ΔE_f (raw): -0.8092 eV/atom

a b c (Å): 4.8722 4.8722 4.8722
angles (deg): 90.00 90.00 90.00
Space group Pm-3m (No. 221)
Inequivalent atoms, fractional coordinates:
Pm 0.0000 0.0000 0.5000 x3
Si 0.5000 0.5000 0.5000 x1
N 0.0000 0.0000 0.0000 x1

2.
A geometry-optimized Pm2SiN structure. Source: the Alexandria database, functional PBE.

theoretical density: 6.8 g/cm3
M_tot: 0.0 μB/f.u.
ΔE_f (raw): -1.0115 eV/atom

a b c (Å): 3.9914 21.3137 3.8095
angles (deg): 90.00 90.00 90.00
Space group Cmcm (No. 63)
Inequivalent atoms, fractional coordinates:
Pm 0.0000 0.0807 0.2500 x4
Pm 0.0000 0.3042 0.2500 x4
Si 0.0000 0.4652 0.2500 x4
N 0.0000 0.1939 0.2500 x4

Number 1: raw total energy -6.41 eV per atom. Number 2: raw total energy -6.82 eV per atom.